Record 1
Compound: NaFe3C4O12
Source: Alexandria via LeMat-Bulk
Functional: GGA+U
Structure: relaxed

Output
Final energy in eV per atom: -7.1992
Fermi-level density of states in states/eV per cell: 9.08

a = 6.170 Å, b = 6.170 Å, c = 6.170 Å
α = 102.74°, β = 102.74°, γ = 102.74°
Positions (direct):
Na 0.000 0.000 0.000
Fe 0.000 0.541 0.459
Fe 0.459 0.000 0.541
Fe 0.541 0.459 0.000
C 0.043 0.500 0.957
C 0.500 0.500 0.500
C 0.500 0.957 0.043
C 0.957 0.043 0.500
O 0.016 0.611 0.804
O 0.094 0.906 0.500
O 0.196 0.389 0.984
O 0.366 0.634 0.500
O 0.389 0.984 0.196
O 0.500 0.094 0.906
O 0.500 0.366 0.634
O 0.611 0.804 0.016
O 0.634 0.500 0.366
O 0.804 0.016 0.611
O 0.906 0.500 0.094
O 0.984 0.196 0.389

***

Record 2
Compound: Na5Fe2P2C2O14
Source: Alexandria via LeMat-Bulk
Functional: GGA+U
Structure: relaxed

Output
E above lowest polymorph in eV/atom: 0.0955
Final energy in eV per atom: -6.4823

a = 8.989 Å, b = 6.551 Å, c = 10.459 Å
α = 90.00°, β = 91.63°, γ = 90.00°
Positions (direct):
Na 0.000 0.005 0.000
Na 0.000 0.995 0.500
Na 0.162 0.476 0.228
Na 0.162 0.524 0.728
Na 0.352 0.252 0.977
Na 0.352 0.748 0.477
Na 0.354 0.251 0.495
Na 0.354 0.749 0.995
Na 0.814 0.225 0.737
Na 0.814 0.775 0.237
Fe 0.441 0.011 0.225
Fe 0.441 0.989 0.725
Fe 0.747 0.492 0.501
Fe 0.747 0.508 0.001
P 0.510 0.495 0.750
P 0.510 0.505 0.250
P 0.671 0.007 0.966
P 0.671 0.993 0.466
C 0.013 0.494 0.472
C 0.013 0.506 0.972
C 0.151 0.004 0.755
C 0.151 0.996 0.255
O 0.014 0.036 0.771
O 0.014 0.964 0.271
O 0.154 0.498 0.458
O 0.154 0.502 0.958
O 0.207 0.008 0.140
O 0.207 0.992 0.640
O 0.244 0.019 0.354
O 0.244 0.981 0.854
O 0.405 0.307 0.734
O 0.405 0.693 0.234
O 0.408 0.323 0.211
O 0.408 0.677 0.711
O 0.522 0.006 0.036
O 0.522 0.994 0.536
O 0.556 0.487 0.397
O 0.556 0.513 0.897
O 0.642 0.003 0.820
O 0.642 0.997 0.320
O 0.650 0.479 0.669
O 0.650 0.521 0.169
O 0.768 0.200 0.000
O 0.768 0.800 0.500
O 0.770 0.181 0.509
O 0.770 0.819 0.009
O 0.916 0.499 0.377
O 0.916 0.501 0.877
O 0.953 0.486 0.585
O 0.953 0.514 0.085

***

Record 3
Compound: Na5Fe2P2C2O14
Source: Alexandria via LeMat-Bulk
Functional: GGA+U
Structure: relaxed

Output
E above lowest polymorph in eV/atom: 0.0019
Final energy in eV per atom: -6.5759

a = 6.622 Å, b = 9.027 Å, c = 10.529 Å
α = 91.50°, β = 90.11°, γ = 91.52°
Positions (direct):
Na 0.001 0.267 0.383
Na 0.012 0.259 0.865
Na 0.269 0.092 0.615
Na 0.272 0.074 0.116
Na 0.491 0.278 0.380
Na 0.509 0.722 0.620
Na 0.728 0.926 0.884
Na 0.731 0.908 0.385
Na 0.988 0.741 0.135
Na 0.999 0.733 0.617
Fe 0.258 0.656 0.377
Fe 0.264 0.648 0.902
Fe 0.736 0.352 0.098
Fe 0.742 0.344 0.623
P 0.243 0.423 0.646
P 0.244 0.416 0.139
P 0.756 0.584 0.861
P 0.757 0.577 0.354
C 0.237 0.921 0.855
C 0.254 0.948 0.366
C 0.746 0.052 0.634
C 0.763 0.079 0.145
O 0.058 0.316 0.621
O 0.058 0.318 0.095
O 0.208 0.056 0.832
O 0.239 0.443 0.285
O 0.239 0.563 0.566
O 0.241 0.471 0.791
O 0.244 0.567 0.072
O 0.248 0.092 0.362
O 0.251 0.867 0.263
O 0.254 0.872 0.971
O 0.256 0.818 0.764
O 0.264 0.884 0.476
O 0.431 0.330 0.614
O 0.433 0.324 0.104
O 0.567 0.676 0.896
O 0.569 0.670 0.386
O 0.736 0.116 0.524
O 0.744 0.182 0.236
O 0.746 0.128 0.029
O 0.749 0.133 0.737
O 0.752 0.908 0.638
O 0.756 0.433 0.928
O 0.759 0.529 0.209
O 0.761 0.437 0.434
O 0.761 0.557 0.715
O 0.792 0.944 0.168
O 0.942 0.682 0.905
O 0.942 0.684 0.379

***

Record 4
Compound: Na5Fe2P2C2O14
Source: Alexandria via LeMat-Bulk
Functional: GGA+U
Structure: relaxed

Output
E above lowest polymorph in eV/atom: 0.0098
Final energy in eV per atom: -6.5681

a = 5.308 Å, b = 6.617 Å, c = 9.028 Å
α = 89.08°, β = 88.66°, γ = 89.58°
Positions (direct):
Na 0.000 0.000 0.000
Na 0.001 0.471 0.988
Na 0.040 0.698 0.360
Na 0.492 0.254 0.191
Na 0.506 0.994 0.521
Fe 0.031 0.247 0.609
Fe 0.471 0.741 0.912
P 0.537 0.236 0.845
P 0.971 0.747 0.687
C 0.542 0.744 0.190
C 0.971 0.235 0.318
O 0.015 0.555 0.598
O 0.042 0.927 0.585
O 0.126 0.745 0.833
O 0.192 0.243 0.377
O 0.313 0.734 0.138
O 0.398 0.228 0.699
O 0.460 0.052 0.951
O 0.461 0.429 0.937
O 0.587 0.763 0.326
O 0.688 0.767 0.738
O 0.725 0.733 0.088
O 0.773 0.227 0.404
O 0.828 0.234 0.822
O 0.949 0.241 0.174

***

Record 5
Compound: Na2FePCO7
Source: Alexandria via LeMat-Bulk
Functional: GGA+U
Structure: relaxed

Output
E above lowest polymorph in eV/atom: 0.0160
Final energy in eV per atom: -6.6820
Fermi-level density of states in states/eV per cell: 0.00

a = 8.404 Å, b = 8.426 Å, c = 10.284 Å
α = 106.76°, β = 109.59°, γ = 102.00°
Positions (direct):
Na 0.000 0.000 0.000
Na 0.014 0.014 0.520
Na 0.216 0.476 0.172
Na 0.315 0.030 0.332
Na 0.520 0.510 0.521
Na 0.663 0.920 0.155
Na 0.750 0.249 0.998
Na 0.810 0.562 0.339
Fe 0.184 0.456 0.601
Fe 0.316 0.069 0.908
Fe 0.680 0.955 0.599
Fe 0.817 0.569 0.909
P 0.053 0.307 0.828
P 0.446 0.212 0.679
P 0.558 0.812 0.828
P 0.949 0.711 0.680
C 0.016 0.270 0.320
C 0.482 0.246 0.188
C 0.527 0.775 0.323
C 0.982 0.737 0.189
O 0.023 0.598 0.584
O 0.034 0.782 0.093
O 0.049 0.835 0.327
O 0.098 0.863 0.823
O 0.149 0.415 0.368
O 0.166 0.232 0.934
O 0.167 0.419 0.775
O 0.319 0.102 0.727
O 0.339 0.293 0.578
O 0.341 0.103 0.133
O 0.411 0.661 0.685
O 0.458 0.684 0.184
O 0.474 0.731 0.418
O 0.485 0.929 0.923
O 0.509 0.088 0.580
O 0.536 0.274 0.088
O 0.558 0.349 0.324
O 0.606 0.354 0.821
O 0.660 0.928 0.385
O 0.681 0.744 0.933
O 0.683 0.936 0.787
O 0.825 0.597 0.727
O 0.832 0.783 0.575
O 0.853 0.584 0.129
O 0.901 0.154 0.687
O 0.926 0.170 0.180
O 0.977 0.234 0.423
O 0.977 0.417 0.926

***

Record 6
Compound: Na2FePCO7
Source: Alexandria via LeMat-Bulk
Functional: GGA+U
Structure: relaxed

Output
E above lowest polymorph in eV/atom: 0.0127
Final energy in eV per atom: -6.6852
Fermi-level density of states in states/eV per cell: 0.00

a = 5.309 Å, b = 6.529 Å, c = 8.962 Å
α = 90.00°, β = 92.31°, γ = 90.00°
Positions (direct):
Na 0.221 0.000 0.083
Na 0.257 0.259 0.728
Na 0.743 0.759 0.272
Na 0.779 0.500 0.917
Fe 0.218 0.469 0.345
Fe 0.782 0.969 0.655
P 0.274 0.977 0.426
P 0.726 0.477 0.574
C 0.295 0.479 0.070
C 0.705 0.979 0.930
O 0.066 0.478 0.121
O 0.117 0.988 0.567
O 0.204 0.789 0.326
O 0.223 0.165 0.324
O 0.337 0.460 0.932
O 0.441 0.464 0.526
O 0.476 0.495 0.173
O 0.524 0.995 0.827
O 0.559 0.964 0.474
O 0.663 0.960 0.068
O 0.777 0.665 0.676
O 0.796 0.289 0.674
O 0.883 0.488 0.433
O 0.934 0.978 0.879

***

Record 7
Compound: Na3FePCO7
Source: Alexandria via LeMat-Bulk
Functional: GGA+U
Structure: relaxed

Output
E above lowest polymorph in eV/atom: 0.0000
Final energy in eV per atom: -6.4761
Fermi-level density of states in states/eV per cell: 0.00

a = 5.253 Å, b = 6.681 Å, c = 9.045 Å
α = 90.00°, β = 91.10°, γ = 90.00°
Positions (direct):
Na 0.234 0.250 0.082
Na 0.252 0.504 0.734
Na 0.252 0.996 0.734
Na 0.748 0.004 0.266
Na 0.748 0.496 0.266
Na 0.766 0.750 0.918
Fe 0.221 0.750 0.352
Fe 0.779 0.250 0.648
P 0.293 0.250 0.414
P 0.707 0.750 0.586
C 0.278 0.750 0.059
C 0.722 0.250 0.941
O 0.055 0.750 0.120
O 0.160 0.250 0.565
O 0.216 0.064 0.319
O 0.216 0.436 0.319
O 0.298 0.750 0.917
O 0.412 0.750 0.561
O 0.481 0.750 0.144
O 0.519 0.250 0.856
O 0.588 0.250 0.439
O 0.702 0.250 0.083
O 0.784 0.564 0.681
O 0.784 0.936 0.681
O 0.840 0.750 0.435
O 0.945 0.250 0.880

***

Record 8
Compound: Na3FePCO7
Source: Alexandria via LeMat-Bulk
Functional: GGA+U
Structure: relaxed

Output
E above lowest polymorph in eV/atom: 0.0159
Final energy in eV per atom: -6.4602
Fermi-level density of states in states/eV per cell: 0.00

a = 5.303 Å, b = 6.721 Å, c = 8.998 Å
α = 90.00°, β = 90.02°, γ = 90.00°
Positions (direct):
Na 0.000 0.000 0.000
Na 0.000 0.500 0.000
Na 0.058 0.251 0.664
Na 0.500 0.001 0.500
Na 0.500 0.501 0.500
Na 0.942 0.751 0.336
Fe 0.470 0.750 0.798
Fe 0.530 0.250 0.202
P 0.486 0.751 0.157
P 0.514 0.251 0.843
C 0.000 0.250 0.345
C 0.000 0.750 0.655
O 0.060 0.750 0.794
O 0.177 0.751 0.554
O 0.198 0.750 0.135
O 0.237 0.251 0.386
O 0.377 0.251 0.998
O 0.422 0.066 0.753
O 0.424 0.435 0.753
O 0.576 0.935 0.247
O 0.578 0.566 0.247
O 0.623 0.751 0.002
O 0.763 0.751 0.614
O 0.802 0.250 0.865
O 0.823 0.251 0.446
O 0.940 0.250 0.206

***

Record 9
Compound: Na5Fe2P2C2O14
Source: Alexandria via LeMat-Bulk
Functional: GGA+U
Structure: relaxed

Output
E above lowest polymorph in eV/atom: 0.0120
Final energy in eV per atom: -6.5658

a = 10.347 Å, b = 6.614 Å, c = 10.532 Å
α = 90.00°, β = 119.64°, γ = 90.00°
Positions (direct):
Na 0.000 0.004 0.000
Na 0.000 0.996 0.500
Na 0.160 0.482 0.846
Na 0.160 0.518 0.346
Na 0.349 0.246 0.685
Na 0.349 0.250 0.189
Na 0.349 0.750 0.689
Na 0.349 0.754 0.185
Na 0.814 0.223 0.169
Na 0.814 0.777 0.669
Fe 0.441 0.001 0.996
Fe 0.441 0.999 0.496
Fe 0.742 0.496 0.867
Fe 0.742 0.504 0.367
P 0.509 0.500 0.002
P 0.509 0.500 0.502
P 0.670 0.004 0.370
P 0.670 0.996 0.870
C 0.022 0.499 0.535
C 0.022 0.501 0.035
C 0.151 0.008 0.321
C 0.151 0.992 0.821
O 0.011 0.026 0.238
O 0.011 0.974 0.738
O 0.165 0.498 0.619
O 0.165 0.502 0.119
O 0.210 0.004 0.964
O 0.210 0.996 0.464
O 0.241 0.003 0.768
O 0.241 0.997 0.268
O 0.407 0.316 0.979
O 0.407 0.684 0.479
O 0.410 0.314 0.482
O 0.410 0.686 0.982
O 0.521 0.003 0.225
O 0.521 0.997 0.725
O 0.554 0.500 0.379
O 0.554 0.500 0.879
O 0.642 0.008 0.501
O 0.642 0.992 0.001
O 0.652 0.492 0.152
O 0.652 0.508 0.652
O 0.765 0.190 0.886
O 0.765 0.810 0.386
O 0.767 0.189 0.375
O 0.767 0.811 0.875
O 0.931 0.492 0.086
O 0.931 0.508 0.586
O 0.962 0.490 0.393
O 0.962 0.510 0.893

***

Record 10
Compound: Na5Fe2P2C2O14
Source: Alexandria via LeMat-Bulk
Functional: GGA+U
Structure: relaxed

Output
E above lowest polymorph in eV/atom: 0.0030
Final energy in eV per atom: -6.5749

a = 9.035 Å, b = 6.617 Å, c = 10.528 Å
α = 90.00°, β = 91.44°, γ = 90.00°
Positions (direct):
Na 0.074 0.000 0.117
Na 0.091 0.012 0.614
Na 0.262 0.771 0.864
Na 0.271 0.753 0.386
Na 0.273 0.243 0.377
Na 0.727 0.743 0.623
Na 0.729 0.253 0.614
Na 0.738 0.271 0.136
Na 0.909 0.512 0.386
Na 0.926 0.500 0.883
Fe 0.345 0.491 0.624
Fe 0.352 0.497 0.099
Fe 0.648 0.997 0.901
Fe 0.655 0.991 0.376
P 0.415 0.000 0.139
P 0.423 0.997 0.646
P 0.577 0.497 0.354
P 0.585 0.500 0.861
C 0.052 0.504 0.634
C 0.078 0.497 0.144
C 0.922 0.997 0.856
C 0.948 0.004 0.366
O 0.058 0.976 0.833
O 0.091 0.999 0.362
O 0.118 0.497 0.524
O 0.128 0.508 0.029
O 0.133 0.514 0.737
O 0.181 0.508 0.236
O 0.319 0.191 0.110
O 0.322 0.815 0.092
O 0.323 0.181 0.614
O 0.323 0.809 0.621
O 0.434 0.512 0.928
O 0.437 0.496 0.434
O 0.443 0.986 0.285
O 0.470 0.996 0.791
O 0.530 0.496 0.209
O 0.557 0.486 0.715
O 0.563 0.996 0.566
O 0.566 0.012 0.072
O 0.677 0.309 0.379
O 0.677 0.681 0.386
O 0.678 0.315 0.908
O 0.681 0.691 0.890
O 0.819 0.008 0.764
O 0.867 0.014 0.263
O 0.872 0.008 0.971
O 0.882 0.997 0.476
O 0.909 0.499 0.638
O 0.942 0.476 0.167